[1]
BaYTc2 (GGA-PBEsol, relaxed); total magnetization = 0.00 μB per formula unit; raw total energy = -30.13 eV/f.u.; formation energy from the elements = 33 kJ per mole of atoms; calculated density = 7.417 g/cm3
1.0
-0.249 -3.174 -0.382
0.869 0.301 -3.072
8.823 -0.981 2.399
Ba Tc Y
1 2 1
direct
0.500 0.500 0.803 Ba
0.000 0.000 0.074 Tc
0.500 0.500 0.203 Tc
0.000 0.000 0.420 Y



[2]
BaYTc3 (GGA-PBEsol, relaxed); total magnetization = 1.50 μB per formula unit; raw total energy = -30.90 eV/f.u.; formation energy from the elements = 229 kJ per mole of atoms; calculated density = 7.416 g/cm3
1.0
-4.878 0.168 -0.179
-0.223 -1.540 4.629
0.103 4.632 1.546
Y Ba Tc
1 1 3
direct
0.500 0.500 0.500 Y
0.000 0.000 0.000 Ba
0.000 0.500 0.000 Tc
0.000 0.000 0.500 Tc
0.500 0.000 0.000 Tc



[3]
BaY3Tc (GGA-PBEsol, relaxed); total magnetization = 0.00 μB per formula unit; raw total energy = -33.31 eV/f.u.; formation energy from the elements = 11 kJ per mole of atoms; calculated density = 5.094 g/cm3
1.0
-1.965 -4.463 2.478
0.029 -2.665 -4.777
5.105 -1.703 0.981
Y Ba Tc
3 1 1
direct
0.000 0.500 0.000 Y
0.000 0.000 0.500 Y
0.500 0.000 0.000 Y
0.500 0.500 0.500 Ba
0.000 0.000 0.000 Tc



[4]
BaZnTc2 (GGA-PBEsol, relaxed); total magnetization = 0.00 μB per formula unit; raw total energy = -24.77 eV/f.u.; formation energy from the elements = 36 kJ per mole of atoms; calculated density = 6.920 g/cm3
1.0
4.355 0.000 0.000
2.177 3.771 0.000
2.177 1.257 5.826
Ba Tc Zn
1 2 1
direct
0.500 0.500 0.500 Ba
0.680 0.680 0.959 Tc
0.320 0.320 0.041 Tc
0.000 0.000 0.000 Zn